Record 1
A plane-wave DFT calculation with GGA-PBE was carried out for a relaxed BaLiTa crystal.

Lattice parameters (Å, degrees): 3.1082 3.1082 15.6927 90.00 90.00 90.00
Space group I4mm (No. 107)
Asymmetric unit:
Ba: 0.0000 0.0000 0.0000 (multiplicity 2)
Li: 0.0000 0.0000 0.6920 (multiplicity 2)
Ta: 0.0000 0.0000 0.3186 (multiplicity 2)

M_tot = 0.437 μB per cell
Fermi-level density of states = 4.55 states/eV/f.u.
energy relative to the lowest polymorph listed for this composition = 1.40 eV per formula unit
density = 7.12 g/cm³
formation energy = 0.90 eV per atom

***

Record 2
A plane-wave DFT calculation with GGA-PBE was carried out for a relaxed BaLiTa2 crystal.

Lattice parameters (Å, degrees): 6.9702 6.9702 6.9702 90.00 90.00 90.00
Space group Fm-3m (No. 225)
Asymmetric unit:
Ba: 0.0000 0.0000 0.0000 (multiplicity 4)
Li: 0.0000 0.0000 0.5000 (multiplicity 4)
Ta: 0.2500 0.2500 0.2500 (multiplicity 8)

M_tot = 0.000 μB per cell
Fermi-level density of states = 5.29 states/eV/f.u.
energy relative to the lowest polymorph listed for this composition = 4.00 eV per formula unit
density = 9.93 g/cm³
formation energy = 1.56 eV per atom

***

Record 3
A plane-wave DFT calculation with GGA-PBE was carried out for a relaxed BaLi2Ta crystal.

Lattice parameters (Å, degrees): 3.1083 3.1083 9.5845 90.00 90.00 90.00
Space group P4/mmm (No. 123)
Asymmetric unit:
Ba: 0.0000 0.0000 0.0000 (multiplicity 1)
Li: 0.5000 0.5000 0.2987 (multiplicity 2)
Ta: 0.0000 0.0000 0.5000 (multiplicity 1)

M_tot = 0.006 μB per cell
Fermi-level density of states = 4.94 states/eV/f.u.
energy relative to the lowest polymorph listed for this composition = 0.22 eV per formula unit
density = 5.96 g/cm³
formation energy = 0.72 eV per atom

***

Record 4
A plane-wave DFT calculation with GGA-PBE was carried out for a relaxed BaLi2Ta crystal.

Lattice parameters (Å, degrees): 8.0962 8.0962 6.1219 90.00 90.00 90.00
Space group I-42d (No. 122)
Asymmetric unit:
Ba: 0.0000 0.0000 0.0000 (multiplicity 4)
Li: 0.2225 0.2500 0.6250 (multiplicity 8)
Ta: 0.0000 0.0000 0.5000 (multiplicity 4)

M_tot = 0.002 μB per cell
Fermi-level density of states = 4.28 states/eV/f.u.
energy relative to the lowest polymorph listed for this composition = 1.82 eV per formula unit
density = 5.50 g/cm³
formation energy = 1.12 eV per atom

***

Record 5
A plane-wave DFT calculation with GGA-PBE was carried out for a relaxed BaLi2Ta crystal.

Lattice parameters (Å, degrees): 3.0793 5.5084 10.8019 90.00 90.00 90.00
Space group Imm2 (No. 44)
Asymmetric unit:
Ba: 0.0000 0.0000 0.0000 (multiplicity 2)
Li: 0.0000 0.0000 0.4751 (multiplicity 2)
Li: 0.0000 0.5000 0.7709 (multiplicity 2)
Ta: 0.0000 0.5000 0.2146 (multiplicity 2)

M_tot = 0.472 μB per cell
Fermi-level density of states = 4.75 states/eV/f.u.
energy relative to the lowest polymorph listed for this composition = 0.62 eV per formula unit
density = 6.02 g/cm³
formation energy = 0.82 eV per atom

***

Record 6
A plane-wave DFT calculation with GGA-PBE was carried out for a relaxed BaLiTa crystal.

Lattice parameters (Å, degrees): 5.6159 5.6159 6.6539 90.00 90.00 120.00
Space group P6_3/mmc (No. 194)
Asymmetric unit:
Ba: 0.3333 0.6667 0.2500 (multiplicity 2)
Li: 0.0000 0.0000 0.0000 (multiplicity 2)
Ta: 0.3333 0.6667 0.7500 (multiplicity 2)

M_tot = 5.388 μB per cell
Fermi-level density of states = 4.79 states/eV/f.u.
energy relative to the lowest polymorph listed for this composition = 3.00 eV per formula unit
density = 5.94 g/cm³
formation energy = 1.43 eV per atom

***

Record 7
A plane-wave DFT calculation with GGA-PBE was carried out for a relaxed Ba2LiTa crystal.

Lattice parameters (Å, degrees): 8.1050 8.1050 8.1050 90.00 90.00 90.00
Space group F-43m (No. 216)
Asymmetric unit:
Ba: 0.0000 0.0000 0.0000 (multiplicity 4)
Ba: 0.2500 0.2500 0.2500 (multiplicity 4)
Li: 0.2500 0.2500 0.7500 (multiplicity 4)
Ta: 0.0000 0.0000 0.5000 (multiplicity 4)

M_tot = 13.309 μB per cell
Fermi-level density of states = 4.75 states/eV/f.u.
energy relative to the lowest polymorph listed for this composition = 0.92 eV per formula unit
density = 5.77 g/cm³
formation energy = 1.01 eV per atom

***

Record 8
A plane-wave DFT calculation with GGA-PBE was carried out for a relaxed Ba2LiTa crystal.

Lattice parameters (Å, degrees): 3.4334 3.4334 11.1897 90.00 90.00 90.00
Space group P4/mmm (No. 123)
Asymmetric unit:
Ba: 0.0000 0.0000 0.2285 (multiplicity 2)
Li: 0.5000 0.5000 0.5000 (multiplicity 1)
Ta: 0.5000 0.5000 0.0000 (multiplicity 1)

M_tot = 0.000 μB per cell
Fermi-level density of states = 4.40 states/eV/f.u.
energy relative to the lowest polymorph listed for this composition = 0.00 eV per formula unit
density = 5.82 g/cm³
formation energy = 0.78 eV per atom

***

Record 9
A plane-wave DFT calculation with GGA-PBE was carried out for a relaxed BaLiTa2 crystal.

Lattice parameters (Å, degrees): 5.6060 11.7285 3.1033 90.00 117.75 90.00
Space group C2/m (No. 12)
Asymmetric unit:
Ba: 0.0000 0.0000 0.0000 (multiplicity 2)
Li: 0.0000 0.5000 0.0000 (multiplicity 2)
Ta: 0.2500 0.2500 0.5000 (multiplicity 4)

M_tot = 0.000 μB per cell
Fermi-level density of states = 3.94 states/eV/f.u.
energy relative to the lowest polymorph listed for this composition = 1.41 eV per formula unit
density = 9.31 g/cm³
formation energy = 0.91 eV per atom

***

Record 10
A plane-wave DFT calculation with GGA-PBE was carried out for a relaxed BaLiTa2 crystal.

Lattice parameters (Å, degrees): 4.0914 4.0914 5.4909 90.00 90.00 90.00
Space group P4/mmm (No. 123)
Asymmetric unit:
Ba: 0.0000 0.0000 0.0000 (multiplicity 1)
Li: 0.5000 0.5000 0.0000 (multiplicity 1)
Ta: 0.0000 0.5000 0.5000 (multiplicity 2)

M_tot = 0.001 μB per cell
Fermi-level density of states = 6.73 states/eV/f.u.
energy relative to the lowest polymorph listed for this composition = 2.00 eV per formula unit
density = 9.14 g/cm³
formation energy = 1.06 eV per atom

***

Record 11
A plane-wave DFT calculation with GGA-PBE was carried out for a relaxed BaLi2Ta crystal.

Lattice parameters (Å, degrees): 2.9695 5.0054 6.6299 90.00 100.74 90.00
Space group P2/m (No. 10)
Asymmetric unit:
Ba: 0.0000 0.0000 0.0000 (multiplicity 1)
Li: 0.1744 0.5000 0.6856 (multiplicity 2)
Ta: 0.5000 0.0000 0.5000 (multiplicity 1)

M_tot = 0.000 μB per cell
Fermi-level density of states = 3.86 states/eV/f.u.
energy relative to the lowest polymorph listed for this composition = 0.36 eV per formula unit
density = 5.70 g/cm³
formation energy = 0.75 eV per atom

***

Record 12
A plane-wave DFT calculation with GGA-PBE was carried out for a relaxed Ba2LiTa crystal.

Lattice parameters (Å, degrees): 5.1040 5.1040 10.8820 90.00 90.00 90.00
Space group I-4m2 (No. 119)
Asymmetric unit:
Ba: 0.0000 0.0000 0.0000 (multiplicity 2)
Ba: 0.0000 0.5000 0.2500 (multiplicity 2)
Li: 0.0000 0.5000 0.7500 (multiplicity 2)
Ta: 0.0000 0.0000 0.5000 (multiplicity 2)

M_tot = 7.097 μB per cell
Fermi-level density of states = 4.41 states/eV/f.u.
energy relative to the lowest polymorph listed for this composition = 0.87 eV per formula unit
density = 5.42 g/cm³
formation energy = 1.00 eV per atom

***

Record 13
A plane-wave DFT calculation with GGA-PBE was carried out for a relaxed BaLiTa2 crystal.

Lattice parameters (Å, degrees): 3.0009 3.0009 10.4628 90.00 90.00 90.00
Space group P4mm (No. 99)
Asymmetric unit:
Ba: 0.0000 0.0000 0.0000 (multiplicity 1)
Li: 0.5000 0.5000 0.2968 (multiplicity 1)
Ta: 0.0000 0.0000 0.5089 (multiplicity 1)
Ta: 0.5000 0.5000 0.7076 (multiplicity 1)

M_tot = 0.000 μB per cell
Fermi-level density of states = 5.01 states/eV/f.u.
energy relative to the lowest polymorph listed for this composition = 0.61 eV per formula unit
density = 8.92 g/cm³
formation energy = 0.71 eV per atom

***

Record 14
A plane-wave DFT calculation with GGA-PBE was carried out for a relaxed BaLiTa crystal.

Lattice parameters (Å, degrees): 3.4013 4.2754 12.2857 90.00 90.96 90.00
Space group Pm (No. 6)
Asymmetric unit:
Ba: 0.0000 0.0000 0.0000 (multiplicity 1)
Ba: 0.0083 0.5000 0.2945 (multiplicity 1)
Li: 0.4896 0.5000 0.5641 (multiplicity 1)
Li: 0.9836 0.0000 0.5430 (multiplicity 1)
Ta: 0.4964 0.0000 0.7381 (multiplicity 1)
Ta: 0.9994 0.5000 0.7578 (multiplicity 1)

M_tot = 0.000 μB per cell
Fermi-level density of states = 2.77 states/eV/f.u.
energy relative to the lowest polymorph listed for this composition = 0.23 eV per formula unit
density = 6.05 g/cm³
formation energy = 0.50 eV per atom

***

Record 15
A plane-wave DFT calculation with GGA-PBE was carried out for a relaxed BaLiTa crystal.

Lattice parameters (Å, degrees): 3.6361 3.6363 13.2254 90.00 90.75 90.00
Space group Pm (No. 6)
Asymmetric unit:
Ba: 0.0000 0.0000 0.0000 (multiplicity 1)
Ba: 0.4639 0.5000 0.2936 (multiplicity 1)
Li: 0.4795 0.5000 0.5990 (multiplicity 1)
Li: 0.9749 0.0000 0.4933 (multiplicity 1)
Ta: 0.4900 0.5000 0.8108 (multiplicity 1)
Ta: 0.9860 0.0000 0.7309 (multiplicity 1)

M_tot = 0.000 μB per cell
Fermi-level density of states = 2.72 states/eV/f.u.
energy relative to the lowest polymorph listed for this composition = 0.00 eV per formula unit
density = 6.18 g/cm³
formation energy = 0.43 eV per atom

***

Record 16
A plane-wave DFT calculation with GGA-PBE was carried out for a relaxed Ba2LiTa crystal.

Lattice parameters (Å, degrees): 10.8648 3.3545 7.0337 90.00 95.64 90.00
Space group C2/m (No. 12)
Asymmetric unit:
Ba: 0.2441 0.0000 0.2381 (multiplicity 4)
Li: 0.0000 0.0000 0.5000 (multiplicity 2)
Ta: 0.0000 0.5000 0.0000 (multiplicity 2)

M_tot = 0.003 μB per cell
Fermi-level density of states = 4.48 states/eV/f.u.
energy relative to the lowest polymorph listed for this composition = 0.82 eV per formula unit
density = 6.02 g/cm³
formation energy = 0.99 eV per atom

***

Record 17
A plane-wave DFT calculation with GGA-PBE was carried out for a relaxed Ba2LiTa crystal.

Lattice parameters (Å, degrees): 6.0878 6.0878 3.5375 90.00 90.00 90.00
Space group P4/mmm (No. 123)
Asymmetric unit:
Ba: 0.0000 0.5000 0.0000 (multiplicity 2)
Li: 0.0000 0.0000 0.5000 (multiplicity 1)
Ta: 0.5000 0.5000 0.5000 (multiplicity 1)

M_tot = 0.000 μB per cell
Fermi-level density of states = 4.11 states/eV/f.u.
energy relative to the lowest polymorph listed for this composition = 0.36 eV per formula unit
density = 5.86 g/cm³
formation energy = 0.87 eV per atom

***

Record 18
A plane-wave DFT calculation with GGA-PBE was carried out for a relaxed BaLiTa crystal.

Lattice parameters (Å, degrees): 4.4413 4.4413 11.1512 90.00 90.00 120.00
Space group P6_3/mmc (No. 194)
Asymmetric unit:
Ba: 0.0000 0.0000 0.2500 (multiplicity 2)
Li: 0.3333 0.6667 0.2500 (multiplicity 2)
Ta: 0.0000 0.0000 0.0000 (multiplicity 2)

M_tot = 0.000 μB per cell
Fermi-level density of states = 5.19 states/eV/f.u.
energy relative to the lowest polymorph listed for this composition = 6.45 eV per formula unit
density = 5.67 g/cm³
formation energy = 2.58 eV per atom

***

Record 19
A plane-wave DFT calculation with GGA-PBE was carried out for a relaxed BaLiTa crystal.

Lattice parameters (Å, degrees): 11.7409 4.5238 7.2627 90.00 100.20 90.00
Space group C2/m (No. 12)
Asymmetric unit:
Ba: 0.0418 0.0000 0.2452 (multiplicity 4)
Li: 0.1828 0.5000 0.6406 (multiplicity 4)
Ta: 0.2250 0.5000 0.0498 (multiplicity 4)

M_tot = 0.000 μB per cell
Fermi-level density of states = 3.02 states/eV/f.u.
energy relative to the lowest polymorph listed for this composition = 0.78 eV per formula unit
density = 5.69 g/cm³
formation energy = 0.69 eV per atom

***

Record 20
A plane-wave DFT calculation with GGA-PBE was carried out for a relaxed BaLiTa2 crystal.

Lattice parameters (Å, degrees): 4.9016 4.9016 21.0957 90.00 90.00 90.00
Space group I4_1/amd (No. 141, origin choice 2)
Asymmetric unit:
Ba: 0.0000 0.2500 0.3750 (multiplicity 4)
Li: 0.0000 0.2500 0.8750 (multiplicity 4)
Ta: 0.0000 0.0000 0.0000 (multiplicity 8)

M_tot = 0.000 μB per cell
Fermi-level density of states = 5.93 states/eV/f.u.
energy relative to the lowest polymorph listed for this composition = 3.40 eV per formula unit
density = 6.63 g/cm³
formation energy = 1.41 eV per atom